6
Lattice="6.535 -1.825 0.000 6.535 1.825 0.000 -0.299 0.000 6.088" Properties=species:S:1:pos:R:3 comment="CoTeBr, optimized geometry, DFT PBE" space_group=Cm raw_formation_energy_ev_per_atom=-0.11 pbc="T T T"
Co 0.000 0.000 0.000
Co 6.748 0.000 3.862
Te 1.747 0.000 4.607
Te 7.427 0.000 1.445
Br 10.825 0.000 0.872
Br 11.687 0.000 3.920